No. 1
GGA-PBE Cs3KTe, optimized geometry; total DFT energy (no corrections) = -1.30 eV per atom; relative energy among the computed polymorphs = 0.5987 eV per atom; space-group type = Pm-3m, No. 221; D(E_F) = 0.04 states/eV/cell; mass density = 2.195 g/cm³
1.0
7.534 0.000 0.000
0.000 7.534 0.000
0.000 0.000 7.534
Te Cs K
1 3 1
direct
0.500 0.500 0.500
0.500 0.000 0.000
0.000 0.500 0.000
0.000 0.000 0.500
0.000 0.000 0.000

***

No. 2
GGA-PBE CsKTe2, optimized geometry; total DFT energy (no corrections) = -2.76 eV per atom; relative energy among the computed polymorphs = 0.0011 eV per atom; space-group type = Amm2, No. 38; mass density = 2.274 g/cm³
1.0
6.172 0.000 0.000
0.000 7.400 -0.647
0.000 -2.378 7.037
Te Cs K
2 1 1
direct
0.500 0.924 0.423
0.500 0.577 0.076
0.500 0.470 0.530
0.000 0.809 0.191

***

No. 3
GGA-PBE Cs3K4Te4, optimized geometry; total DFT energy (no corrections) = -2.74 eV per atom; space-group type = Immm, No. 71; D(E_F) = 1.35 states/eV/cell; mass density = 3.428 g/cm³
1.0
5.611 0.000 0.000
0.000 9.558 0.000
-2.806 -4.779 9.623
K Cs Te
4 3 4
direct
0.673 0.470 0.346
0.327 0.530 0.654
0.327 0.124 0.654
0.673 0.876 0.346
0.000 0.500 0.000
0.890 0.890 0.780
0.110 0.110 0.220
0.500 0.816 0.000
0.500 0.184 0.000
0.218 0.718 0.436
0.782 0.282 0.564

***

No. 4
GGA-PBE CsKTe3, optimized geometry; total DFT energy (no corrections) = -2.96 eV per atom; relative energy among the computed polymorphs = 0.0000 eV per atom; space-group type = P2_1/m, No. 11; D(E_F) = 3.29 states/eV/cell; mass density = 3.390 g/cm³
1.0
-4.167 -2.626 -2.124
0.639 -6.944 7.328
-6.687 9.856 0.936
Te K Cs
6 2 2
direct
0.250 0.253 0.236
0.750 0.560 0.050
0.750 0.172 0.281
0.250 0.828 0.719
0.250 0.440 0.950
0.750 0.747 0.764
0.750 0.163 0.965
0.250 0.837 0.035
0.750 0.615 0.399
0.250 0.385 0.601

***

No. 5
GGA-PBE Cs3KTe4, optimized geometry; total DFT energy (no corrections) = -2.85 eV per atom; space-group type = Immm, No. 71; mass density = 3.640 g/cm³
1.0
5.743 0.000 0.000
0.000 7.046 0.000
-2.871 -3.523 10.689
Cs Te K
3 4 1
direct
0.000 0.500 0.000
0.796 0.796 0.591
0.204 0.204 0.409
0.625 0.823 0.250
0.375 0.573 0.750
0.625 0.427 0.250
0.375 0.177 0.750
0.500 0.000 0.000

***

No. 6
GGA-PBE CsKTe, optimized geometry; total DFT energy (no corrections) = -2.61 eV per atom; space-group type = P3m1, No. 156; mass density = 3.193 g/cm³
1.0
-2.408 -1.932 4.563
5.105 -1.586 2.023
-2.029 5.220 1.139
Cs Te K
1 1 1
direct
0.696 0.667 0.333
0.087 0.000 0.000
0.217 0.333 0.667

***

No. 7
GGA-PBE CsK2Te6, optimized geometry; total DFT energy (no corrections) = -3.03 eV per atom; relative energy among the computed polymorphs = 0.0000 eV per atom; space-group type = C2/m, No. 12; D(E_F) = 2.85 states/eV/cell; mass density = 4.391 g/cm³
1.0
-3.907 0.433 2.407
1.426 -9.150 -0.337
6.546 -0.929 6.492
Te K Cs
6 2 1
direct
0.203 0.429 0.909
0.797 0.571 0.091
0.203 0.909 0.429
0.500 0.736 0.264
0.797 0.091 0.571
0.500 0.264 0.736
0.707 0.668 0.668
0.293 0.332 0.332
0.000 0.000 0.000

***

No. 8
GGA-PBE Cs2K2Te, optimized geometry; total DFT energy (no corrections) = -1.83 eV per atom; relative energy among the computed polymorphs = 0.0000 eV per atom; space-group type = P4/mbm, No. 127; D(E_F) = 3.50 states/eV/cell; mass density = 2.450 g/cm³
1.0
-8.965 -2.524 -1.072
2.694 -8.790 -1.834
-0.397 -1.599 7.083
Cs Te K
4 2 4
direct
0.191 0.691 0.500
0.809 0.309 0.500
0.309 0.191 0.500
0.691 0.809 0.500
0.000 0.000 0.000
0.500 0.500 0.000
0.837 0.663 0.000
0.163 0.337 0.000
0.337 0.837 0.000
0.663 0.163 0.000